1.
Entry from Alexandria: LiCe2InSe4 after structural relaxation (GGA-PBE).

a b c (Å): 5.333 5.108 7.328
angles (deg): 90.00 97.55 90.00
Space group P2/m (No. 10)
Inequivalent atoms, fractional coordinates:
Li  0.000  0.000  0.000 x1
Ce  0.000  0.000  0.500 x1
Ce  0.500  0.500  0.500 x1
In  0.500  0.500  0.000 x1
Se  0.030  0.500  0.729 x2
Se  0.447  0.000  0.267 x2

formation energy from raw total energies: -1.24 eV/atom
magnetic moment: 1.88 μB per formula unit
VASP energy: -0.3709 Ry per atom

***

2.
Entry from Alexandria: Ho4Er after structural relaxation (GGA-PBE).

a b c (Å): 5.594 5.594 5.594
angles (deg): 90.00 90.00 90.00
Space group Pm-3m (No. 221)
Inequivalent atoms, fractional coordinates:
Ho  0.000  0.000  0.000 x1
Ho  0.000  0.500  0.500 x3
Er  0.500  0.500  0.500 x1

E above lowest polymorph: 0.716 eV per atom
magnetic moment: 0.00 μB per formula unit
VASP energy: -0.2820 Ry per atom
formation energy: 3.69 eV/f.u.

***

3.
Entry from Alexandria: Ce3SmH after structural relaxation (GGA-PBE).

a b c (Å): 4.975 4.975 4.975
angles (deg): 90.00 90.00 90.00
Space group Pm-3m (No. 221)
Inequivalent atoms, fractional coordinates:
Ce  0.000  0.000  0.500 x3
Sm  0.500  0.500  0.500 x1
H  0.000  0.000  0.000 x1

magnetic moment: 2.52 μB per formula unit
VASP energy: -0.3850 Ry per atom

***

4.
Entry from Alexandria: ScZnBr2 after structural relaxation (GGA-PBE).

a b c (Å): 7.157 7.157 7.157
angles (deg): 90.00 90.00 90.00
Space group Fm-3m (No. 225)
Inequivalent atoms, fractional coordinates:
Sc  0.000  0.000  0.000 x4
Zn  0.000  0.000  0.500 x4
Br  0.250  0.250  0.250 x8

formation energy from raw total energies: -0.50 eV/atom
E above lowest polymorph: 0.403 eV per atom
magnetic moment: 1.00 μB per formula unit
VASP energy: -0.2381 Ry per atom

***

5.
Entry from Alexandria: CePm2Pa after structural relaxation (GGA-PBE).

a b c (Å): 3.3391 3.3391 36.8957
angles (deg): 90.00 90.00 120.00
Space group R-3m (No. 166, hexagonal axes)
Inequivalent atoms, fractional coordinates:
Ce  0.0000  0.0000  0.0000 x3
Pm  0.0000  0.0000  0.4123 x6
Pa  0.0000  0.0000  0.5000 x3

E above lowest polymorph: 0.121 eV per atom
magnetic moment: 0.32 μB per formula unit
VASP energy: -0.4341 Ry per atom
formation energy: 1.31 eV/f.u.

***

6.
Entry from Alexandria: Li3Ag2Sn after structural relaxation (GGA-PBE).

a b c (Å): 4.405 13.102 3.537
angles (deg): 90.00 90.00 90.00
Space group Cmmm (No. 65)
Inequivalent atoms, fractional coordinates:
Li  0.000  0.000  0.000 x2
Li  0.000  0.329  0.000 x4
Ag  0.000  0.166  0.500 x4
Sn  0.000  0.500  0.500 x2

E above lowest polymorph: 0.000 eV per atom
magnetic moment: 0.00 μB per formula unit
VASP energy: -0.2087 Ry per atom
formation energy: -1.59 eV/f.u.

***

- Look up the magnetic moment of the sixth one.
  0.00 μB per formula unit